Record 1
Below is crystalline CaDy2YTl4 at its relaxed geometry, with properties calculated at the PBE level.

The structure in POSCAR format:
```
CaDy2YTl4
1.0
2.696 1.556 8.835
-2.696 1.556 8.835
0.000 -3.113 8.835
Ca Dy Y Tl
1 2 1 4
direct
0.000 0.000 0.000 Ca
0.252 0.252 0.252 Dy
0.748 0.748 0.748 Dy
0.500 0.500 0.500 Y
0.126 0.126 0.126 Tl
0.376 0.376 0.376 Tl
0.624 0.624 0.624 Tl
0.874 0.874 0.874 Tl
```

The electronic total energy is -3.76 eV per atom. The calculation puts the formation energy at -0.365 eV/atom.

---

Record 2
Below is crystalline CaDyYTl at its relaxed geometry, with properties calculated at the PBE level.

The structure in POSCAR format:
```
CaDyYTl
1.0
0.000 3.902 3.902
3.902 0.000 3.902
3.902 3.902 0.000
Ca Dy Y Tl
1 1 1 1
direct
0.000 0.000 0.000 Ca
0.250 0.250 0.250 Dy
0.750 0.750 0.750 Y
0.500 0.500 0.500 Tl
```

The electronic total energy is -3.91 eV per atom. The calculation puts the formation energy at -0.052 eV/atom.

---

Record 3
Below is crystalline CaDyY2Tl4 at its relaxed geometry, with properties calculated at the PBE level.

The structure in POSCAR format:
```
CaDyY2Tl4
1.0
2.698 1.557 8.839
-2.698 1.557 8.839
0.000 -3.115 8.839
Ca Dy Y Tl
1 1 2 4
direct
0.000 0.000 0.000 Ca
0.500 0.500 0.500 Dy
0.252 0.252 0.252 Y
0.748 0.748 0.748 Y
0.126 0.126 0.126 Tl
0.377 0.377 0.377 Tl
0.623 0.623 0.623 Tl
0.874 0.874 0.874 Tl
```

The electronic total energy is -4.00 eV per atom. The calculation puts the formation energy at -0.373 eV/atom.

---

Record 4
Below is crystalline CaDy6Tm2 at its relaxed geometry, with properties calculated at the PBE level.

The structure in POSCAR format:
```
CaDy6Tm2
1.0
7.821 -4.254 0.000
7.821 4.254 0.000
-6.979 0.000 8.843
Ca Dy Tm
2 12 4
direct
0.163 0.837 0.750 Ca
0.837 0.163 0.250 Ca
0.077 0.545 0.420 Dy
0.118 0.708 0.984 Dy
0.292 0.882 0.516 Dy
0.343 0.397 0.221 Dy
0.397 0.343 0.721 Dy
0.455 0.923 0.080 Dy
0.545 0.077 0.920 Dy
0.603 0.657 0.279 Dy
0.657 0.603 0.779 Dy
0.708 0.118 0.484 Dy
0.882 0.292 0.016 Dy
0.923 0.455 0.580 Dy
0.089 0.270 0.821 Tm
0.270 0.089 0.321 Tm
0.730 0.911 0.679 Tm
0.911 0.730 0.179 Tm
```

The electronic total energy is -4.06 eV per atom. The calculation puts the formation energy at 0.227 eV/atom.

---

Record 5
Below is crystalline CaDy6Tm8 at its relaxed geometry, with properties calculated at the PBE level.

The structure in POSCAR format:
```
CaDy6Tm8
1.0
3.075 1.775 14.226
-3.075 1.775 14.226
0.000 -3.550 14.226
Ca Dy Tm
1 6 8
direct
0.000 0.000 0.000 Ca
0.068 0.728 0.409 Dy
0.272 0.591 0.932 Dy
0.409 0.068 0.728 Dy
0.591 0.932 0.272 Dy
0.728 0.409 0.068 Dy
0.932 0.272 0.591 Dy
0.134 0.467 0.801 Tm
0.199 0.866 0.533 Tm
0.333 0.333 0.333 Tm
0.467 0.801 0.134 Tm
0.533 0.199 0.866 Tm
0.667 0.667 0.667 Tm
0.801 0.134 0.467 Tm
0.866 0.533 0.199 Tm
```

The electronic total energy is -4.33 eV per atom. The calculation puts the formation energy at 0.033 eV/atom.

---

Record 6
Below is crystalline CaDy6Tm at its relaxed geometry, with properties calculated at the PBE level.

The structure in POSCAR format:
```
CaDy6Tm
1.0
6.607 0.000 0.000
-0.281 6.741 0.000
-1.710 -3.238 5.883
Ca Dy Tm
1 6 1
direct
0.000 0.000 0.000 Ca
0.241 0.576 0.483 Dy
0.255 0.543 0.996 Dy
0.281 0.096 0.531 Dy
0.719 0.904 0.469 Dy
0.745 0.457 0.004 Dy
0.759 0.424 0.517 Dy
0.500 0.000 0.000 Tm
```

The electronic total energy is -4.03 eV per atom. The calculation puts the formation energy at 0.228 eV/atom.

---

Record 7
Below is crystalline CaDyTm4 at its relaxed geometry, with properties calculated at the PBE level.

The structure in POSCAR format:
```
CaDyTm4
1.0
0.000 4.645 4.645
4.645 0.000 4.645
4.645 4.645 0.000
Ca Dy Tm
1 1 4
direct
0.000 0.000 0.000 Ca
0.750 0.750 0.750 Dy
0.376 0.376 0.376 Tm
0.376 0.376 0.871 Tm
0.376 0.871 0.376 Tm
0.871 0.376 0.376 Tm
```

The electronic total energy is -3.85 eV per atom. The calculation puts the formation energy at 0.227 eV/atom.

---

Record 8
Below is crystalline CaDy6Tm12 at its relaxed geometry, with properties calculated at the PBE level.

The structure in POSCAR format:
```
CaDy6Tm12
1.0
7.372 4.256 3.457
-7.372 4.256 3.457
0.000 -8.512 3.457
Ca Dy Tm
1 6 12
direct
0.000 0.000 0.000 Ca
0.292 0.690 0.690 Dy
0.310 0.310 0.708 Dy
0.310 0.708 0.310 Dy
0.690 0.292 0.690 Dy
0.690 0.690 0.292 Dy
0.708 0.310 0.310 Dy
0.108 0.343 0.343 Tm
0.113 0.500 0.887 Tm
0.113 0.887 0.500 Tm
0.343 0.108 0.343 Tm
0.343 0.343 0.108 Tm
0.500 0.113 0.887 Tm
0.500 0.887 0.113 Tm
0.657 0.657 0.892 Tm
0.657 0.892 0.657 Tm
0.887 0.113 0.500 Tm
0.887 0.500 0.113 Tm
0.892 0.657 0.657 Tm
```

The electronic total energy is -3.94 eV per atom. The calculation puts the formation energy at 0.444 eV/atom.

---

Record 9
Below is crystalline CaDyY4Tm2 at its relaxed geometry, with properties calculated at the PBE level.

The structure in POSCAR format:
```
CaDyY4Tm2
1.0
6.870 -6.680 0.000
6.870 6.680 0.000
-3.383 0.000 5.926
Ca Dy Y Tm
2 2 8 4
direct
0.000 0.000 0.000 Ca
0.000 0.000 0.500 Ca
0.000 0.500 0.000 Dy
0.500 0.000 0.500 Dy
0.255 0.744 0.999 Y
0.256 0.745 0.501 Y
0.265 0.269 0.519 Y
0.269 0.265 0.019 Y
0.731 0.735 0.981 Y
0.735 0.731 0.481 Y
0.744 0.255 0.499 Y
0.745 0.256 0.001 Y
0.000 0.500 0.500 Tm
0.500 0.000 0.000 Tm
0.500 0.500 0.000 Tm
0.500 0.500 0.500 Tm
```

The electronic total energy is -4.73 eV per atom. The calculation puts the formation energy at 0.446 eV/atom.

---

Record 10
Below is crystalline CaDy8Y6 at its relaxed geometry, with properties calculated at the PBE level.

The structure in POSCAR format:
```
CaDy8Y6
1.0
3.115 1.799 14.422
-3.115 1.799 14.422
0.000 -3.597 14.422
Ca Dy Y
1 8 6
direct
0.000 0.000 0.000 Ca
0.134 0.467 0.801 Dy
0.199 0.866 0.533 Dy
0.333 0.333 0.333 Dy
0.467 0.801 0.134 Dy
0.533 0.199 0.866 Dy
0.667 0.667 0.667 Dy
0.801 0.134 0.467 Dy
0.866 0.533 0.199 Dy
0.068 0.729 0.408 Y
0.271 0.592 0.932 Y
0.408 0.068 0.729 Y
0.592 0.932 0.271 Y
0.729 0.408 0.068 Y
0.932 0.271 0.592 Y
```

The electronic total energy is -5.14 eV per atom. The calculation puts the formation energy at 0.035 eV/atom.

---

Record 11
Below is crystalline CaDy8Y4 at its relaxed geometry, with properties calculated at the PBE level.

The structure in POSCAR format:
```
CaDy8Y4
1.0
5.652 -2.525 0.000
5.652 2.525 0.000
-1.144 0.000 14.681
Ca Dy Y
1 8 4
direct
0.000 0.000 0.000 Ca
0.077 0.077 0.765 Dy
0.232 0.232 0.308 Dy
0.307 0.307 0.081 Dy
0.463 0.463 0.615 Dy
0.537 0.537 0.385 Dy
0.693 0.693 0.919 Dy
0.768 0.768 0.692 Dy
0.923 0.923 0.235 Dy
0.153 0.153 0.539 Y
0.379 0.379 0.841 Y
0.621 0.621 0.159 Y
0.847 0.847 0.461 Y
```

The electronic total energy is -4.93 eV per atom. The calculation puts the formation energy at 0.050 eV/atom.

---

Record 12
Below is crystalline CaDy2Y7 at its relaxed geometry, with properties calculated at the PBE level.

The structure in POSCAR format:
```
CaDy2Y7
1.0
5.062 0.000 0.000
0.011 7.197 0.000
2.529 1.787 9.001
Ca Dy Y
1 2 7
direct
0.000 0.000 0.000 Ca
0.200 0.601 0.601 Dy
0.800 0.399 0.399 Dy
0.000 0.500 0.000 Y
0.204 0.101 0.593 Y
0.396 0.690 0.207 Y
0.397 0.206 0.205 Y
0.603 0.794 0.795 Y
0.604 0.310 0.793 Y
0.796 0.899 0.407 Y
```

The electronic total energy is -5.59 eV per atom. The calculation puts the formation energy at 0.056 eV/atom.

---

Record 13
Below is crystalline CaDy12Y6 at its relaxed geometry, with properties calculated at the PBE level.

The structure in POSCAR format:
```
CaDy12Y6
1.0
7.608 4.392 3.325
-7.608 4.392 3.325
0.000 -8.785 3.325
Ca Dy Y
1 12 6
direct
0.000 0.000 0.000 Ca
0.110 0.500 0.890 Dy
0.110 0.890 0.500 Dy
0.146 0.361 0.361 Dy
0.361 0.146 0.361 Dy
0.361 0.361 0.146 Dy
0.500 0.110 0.890 Dy
0.500 0.890 0.110 Dy
0.639 0.639 0.854 Dy
0.639 0.854 0.639 Dy
0.854 0.639 0.639 Dy
0.890 0.110 0.500 Dy
0.890 0.500 0.110 Dy
0.262 0.681 0.681 Y
0.319 0.319 0.738 Y
0.319 0.738 0.319 Y
0.681 0.262 0.681 Y
0.681 0.681 0.262 Y
0.738 0.319 0.319 Y
```

The electronic total energy is -4.61 eV per atom. The calculation puts the formation energy at 0.440 eV/atom.

---

Record 14
Below is crystalline CaDy2Y2 at its relaxed geometry, with properties calculated at the PBE level.

The structure in POSCAR format:
```
CaDy2Y2
1.0
-2.109 2.109 12.841
2.109 -2.109 12.841
2.109 2.109 -12.841
Ca Dy Y
1 2 2
direct
0.000 0.000 0.000 Ca
0.250 0.750 0.500 Dy
0.750 0.250 0.500 Dy
0.142 0.142 0.000 Y
0.858 0.858 0.000 Y
```

The electronic total energy is -4.00 eV per atom. The calculation puts the formation energy at 0.827 eV/atom.

---

Record 15
Below is crystalline Ca2DyY at its relaxed geometry, with properties calculated at the PBE level.

The structure in POSCAR format:
```
Ca2DyY
1.0
0.000 4.137 4.137
4.137 0.000 4.137
4.137 4.137 0.000
Ca Dy Y
2 1 1
direct
0.250 0.250 0.250 Ca
0.750 0.750 0.750 Ca
0.000 0.000 0.000 Dy
0.500 0.500 0.500 Y
```

For the energy relative to the lowest polymorph listed for this composition, the calculation gives 50 meV per atom. The electronic total energy is -3.59 eV per atom. The calculation puts the formation energy at 0.181 eV/atom.

---

Record 16
Below is crystalline CaDy5Y6 at its relaxed geometry, with properties calculated at the PBE level.

The structure in POSCAR format:
```
CaDy5Y6
1.0
2.534 -7.610 0.000
2.534 7.610 0.000
0.000 0.000 10.114
Ca Dy Y
1 5 6
direct
0.000 0.000 0.000 Ca
0.000 0.000 0.500 Dy
0.327 0.673 0.000 Dy
0.333 0.667 0.500 Dy
0.667 0.333 0.500 Dy
0.673 0.327 0.000 Dy
0.169 0.831 0.254 Y
0.169 0.831 0.746 Y
0.500 0.500 0.259 Y
0.500 0.500 0.741 Y
0.831 0.169 0.254 Y
0.831 0.169 0.746 Y
```

The electronic total energy is -5.27 eV per atom. The calculation puts the formation energy at 0.048 eV/atom.

---

Record 17
Below is crystalline CaDy5Y12 at its relaxed geometry, with properties calculated at the PBE level.

The structure in POSCAR format:
```
CaDy5Y12
1.0
7.597 -7.607 0.000
7.597 7.607 0.000
0.000 0.000 5.057
Ca Dy Y
1 5 12
direct
0.000 0.000 0.000 Ca
0.173 0.827 0.500 Dy
0.333 0.667 0.000 Dy
0.500 0.500 0.500 Dy
0.667 0.333 0.000 Dy
0.827 0.173 0.500 Dy
0.001 0.663 0.000 Y
0.167 0.501 0.500 Y
0.172 0.172 0.500 Y
0.334 0.334 0.000 Y
0.337 0.999 0.000 Y
0.499 0.833 0.500 Y
0.501 0.167 0.500 Y
0.663 0.001 0.000 Y
0.666 0.666 0.000 Y
0.828 0.828 0.500 Y
0.833 0.499 0.500 Y
0.999 0.337 0.000 Y
```

The electronic total energy is -5.66 eV per atom. The calculation puts the formation energy at 0.042 eV/atom.

---

Record 18
Below is crystalline Ca2DyY at its relaxed geometry, with properties calculated at the PBE level.

The structure in POSCAR format:
```
Ca2DyY
1.0
4.135 0.000 0.000
0.000 4.135 0.000
0.000 0.000 8.298
Ca Dy Y
2 1 1
direct
0.000 0.000 0.249 Ca
0.000 0.000 0.751 Ca
0.500 0.500 0.000 Dy
0.500 0.500 0.500 Y
```

For the energy relative to the lowest polymorph listed for this composition, the calculation gives 50 meV per atom. The electronic total energy is -3.59 eV per atom. The calculation puts the formation energy at 0.181 eV/atom.

---

Record 19
Below is crystalline CaDy2Y4 at its relaxed geometry, with properties calculated at the PBE level.

The structure in POSCAR format:
```
CaDy2Y4
1.0
1.793 1.035 20.843
-1.793 1.035 20.843
0.000 -2.071 20.843
Ca Dy Y
1 2 4
direct
0.000 0.000 0.000 Ca
0.430 0.430 0.430 Dy
0.570 0.570 0.570 Dy
0.143 0.143 0.143 Y
0.282 0.282 0.282 Y
0.718 0.718 0.718 Y
0.857 0.857 0.857 Y
```

The electronic total energy is -5.25 eV per atom. The calculation puts the formation energy at 0.049 eV/atom.

---

Record 20
Below is crystalline CaDy6Y12 at its relaxed geometry, with properties calculated at the PBE level.

The structure in POSCAR format:
```
CaDy6Y12
1.0
7.797 4.502 2.922
-7.797 4.502 2.922
0.000 -9.003 2.922
Ca Dy Y
1 6 12
direct
0.000 0.000 0.000 Ca
0.049 0.364 0.575 Dy
0.364 0.575 0.049 Dy
0.425 0.951 0.636 Dy
0.575 0.049 0.364 Dy
0.636 0.425 0.951 Dy
0.951 0.636 0.425 Dy
0.107 0.734 0.162 Y
0.162 0.107 0.734 Y
0.213 0.480 0.321 Y
0.266 0.838 0.893 Y
0.321 0.213 0.480 Y
0.480 0.321 0.213 Y
0.519 0.679 0.787 Y
0.679 0.787 0.520 Y
0.734 0.162 0.107 Y
0.787 0.520 0.679 Y
0.838 0.893 0.266 Y
0.893 0.266 0.838 Y
```

The electronic total energy is -5.60 eV per atom. The calculation puts the formation energy at 0.039 eV/atom.

---

Record 21
Below is crystalline CaDy2Y9 at its relaxed geometry, with properties calculated at the PBE level.

The structure in POSCAR format:
```
CaDy2Y9
1.0
5.078 0.000 0.000
0.000 5.078 0.000
0.000 0.000 15.249
Ca Dy Y
1 2 9
direct
0.000 0.000 0.000 Ca
0.000 0.000 0.335 Dy
0.000 0.000 0.665 Dy
0.000 0.500 0.174 Y
0.000 0.500 0.500 Y
0.000 0.500 0.826 Y
0.500 0.000 0.174 Y
0.500 0.000 0.500 Y
0.500 0.000 0.826 Y
0.500 0.500 0.000 Y
0.500 0.500 0.334 Y
0.500 0.500 0.666 Y
```

The electronic total energy is -5.73 eV per atom. The calculation puts the formation energy at 0.054 eV/atom.